# DyHfHg2 (PBE, optimized geometry)
# calculated total energy = -3.960 eV/atom
# formation energy from the elements = -170 meV/atom
# N(E_F) = 12.71 states/eV per cell
# polymorph energy (0 for the lowest one) = 0.031 eV/atom
data_DyHfHg2
_cell_length_a 7.207
_cell_length_b 7.207
_cell_length_c 7.207
_cell_angle_alpha 90.00
_cell_angle_beta 90.00
_cell_angle_gamma 90.00
_space_group_name_H-M_alt 'F m -3 m'
_space_group_IT_number 225
_space_group_name_Hall '-F 4 2 3'
loop_
_atom_site_label
_atom_site_type_symbol
_atom_site_fract_x
_atom_site_fract_y
_atom_site_fract_z
Dy1 Dy 0.000 0.000 0.000
Hf1 Hf 0.000 0.000 0.500
Hg1 Hg 0.250 0.250 0.250